# HfMo12W6 | Alexandria | GGA-PBE | relaxed
# ΔE_f   943 meV/atom
# Spin magnetization   0.0 μB/f.u.
data_HfMo12W6
_cell_length_a 10.5782
_cell_length_b 10.5782
_cell_length_c 11.3349
_cell_angle_alpha 90.00
_cell_angle_beta 90.00
_cell_angle_gamma 120.00
_symmetry_space_group_name_H-M 'R -3 m'
_symmetry_Int_Tables_number 166
_symmetry_space_group_name_Hall '-R 3 2"'
loop_
_atom_site_label
_atom_site_type_symbol
_atom_site_fract_x
_atom_site_fract_y
_atom_site_fract_z
_atom_site_occupancy
Hf1 Hf 0.0000 0.0000 0.0000 1
Mo1 Mo 0.0000 0.3544 0.5000 1
Mo2 Mo 0.0847 0.1694 0.3984 1
W1 W 0.0161 0.5081 0.6787 1



# KLiCl | Alexandria | GGA-PBE | relaxed
# Relative energy among the computed polymorphs   313 meV/atom
# Formation energy (no corrections)   -80.0 kJ/mol of atoms
# Spin magnetization   0.0 μB/f.u.
data_KLiCl
_cell_length_a 7.438
_cell_length_b 7.438
_cell_length_c 7.438
_cell_angle_alpha 90.00
_cell_angle_beta 90.00
_cell_angle_gamma 90.00
_symmetry_space_group_name_H-M 'F -4 3 m'
_symmetry_Int_Tables_number 216
_symmetry_space_group_name_Hall 'F -4 2 3'
loop_
_atom_site_label
_atom_site_type_symbol
_atom_site_fract_x
_atom_site_fract_y
_atom_site_fract_z
_atom_site_occupancy
K1 K 0.000 0.000 0.000 1
Li1 Li 0.000 0.000 0.500 1
Cl1 Cl 0.250 0.250 0.750 1



# SmCd2TeO6 | Alexandria | GGA-PBE | relaxed
# Formation energy (no corrections)   -154.8 kJ/mol of atoms
# Spin magnetization   0.0 μB/f.u.
data_SmCd2TeO6
_cell_length_a 5.7651
_cell_length_b 5.7651
_cell_length_c 15.1382
_cell_angle_alpha 90.00
_cell_angle_beta 90.00
_cell_angle_gamma 120.00
_symmetry_space_group_name_H-M 'R 3'
_symmetry_Int_Tables_number 146
_symmetry_space_group_name_Hall 'R 3'
loop_
_atom_site_label
_atom_site_type_symbol
_atom_site_fract_x
_atom_site_fract_y
_atom_site_fract_z
_atom_site_occupancy
Sm1 Sm 0.0000 0.0000 0.0000 1
Cd1 Cd 0.0000 0.0000 0.2718 1
Cd2 Cd 0.0000 0.0000 0.7815 1
Te1 Te 0.0000 0.0000 0.4922 1
O1 O 0.0010 0.3780 0.2294 1
O2 O 0.0646 0.6858 0.0732 1



# La2AgRh | Alexandria | GGA-PBE | relaxed
# ΔE_f   -373 meV/atom
# Spin magnetization   0.0 μB/f.u.
data_La2AgRh
_cell_length_a 3.658
_cell_length_b 4.605
_cell_length_c 12.331
_cell_angle_alpha 90.00
_cell_angle_beta 90.00
_cell_angle_gamma 90.00
_symmetry_space_group_name_H-M 'I m m 2'
_symmetry_Int_Tables_number 44
_symmetry_space_group_name_Hall 'I 2 -2'
loop_
_atom_site_label
_atom_site_type_symbol
_atom_site_fract_x
_atom_site_fract_y
_atom_site_fract_z
_atom_site_occupancy
La1 La 0.000 0.000 0.000 1
La2 La 0.000 0.500 0.207 1
Ag1 Ag 0.000 0.500 0.813 1
Rh1 Rh 0.000 0.000 0.503 1